Entry 1:
A plane-wave DFT calculation with PBE was carried out for crystalline ZnHg2Pd2 at its relaxed geometry.

Summary:
Its space-group type is P4/mbm (127). The calculation puts the energy above the most stable polymorph in this dataset at 0 meV/atom. As for the total DFT energy (no corrections): -2.6388 eV/atom. The density of states at the Fermi level is 4.1 states/eV per cell. The value obtained for the energy relative to the elements is -0.186 eV per atom.

Cell lengths 6.6576, 6.6576, 4.2232 Å; angles 90.00, 90.00, 90.00 degrees
Fractional positions:
Zn 0.0000 0.0000 0.0000
Zn 0.5000 0.5000 0.0000
Hg 0.1608 0.6608 0.5000
Hg 0.6608 0.8392 0.5000
Hg 0.8392 0.3392 0.5000
Hg 0.3392 0.1608 0.5000
Pd 0.3526 0.8526 0.0000
Pd 0.8526 0.6474 0.0000
Pd 0.6474 0.1474 0.0000
Pd 0.1474 0.3526 0.0000

---

Entry 2:
A plane-wave DFT calculation with PBE was carried out for crystalline Pr2NbGe4Pt3 at its relaxed geometry.

Summary:
Its space-group type is P-4m2 (115). As for the total DFT energy (no corrections): -6.4600 eV/atom. The density of states at the Fermi level is 4.8 states/eV per cell. The value obtained for the energy relative to the elements is -0.838 eV per atom.

Cell lengths 4.3149, 4.3149, 10.7160 Å; angles 90.00, 90.00, 90.00 degrees
Fractional positions:
Pr 0.5000 0.0000 0.2381
Pr 0.0000 0.5000 0.7619
Nb 0.5000 0.5000 0.5000
Ge 0.5000 0.5000 0.0000
Ge 0.0000 0.0000 0.0000
Ge 0.5000 0.0000 0.6410
Ge 0.0000 0.5000 0.3590
Pt 0.0000 0.0000 0.5000
Pt 0.5000 0.0000 0.8754
Pt 0.0000 0.5000 0.1246

---

Entry 3:
A plane-wave DFT calculation with PBE was carried out for crystalline Ta2ReW at its relaxed geometry.

Summary:
Its space-group type is R3m (160). As for the total DFT energy (no corrections): -12.0768 eV/atom. The density of states at the Fermi level is 2.7 states/eV per cell. The value obtained for the energy relative to the elements is 0.200 eV per atom.

Cell lengths 9.2368, 9.2368, 9.2368 Å; angles 18.42, 18.42, 18.42 degrees
Fractional positions:
Re 0.7524 0.7524 0.7524
Ta 0.0034 0.0034 0.0034
Ta 0.2484 0.2484 0.2484
W 0.4958 0.4958 0.4958